## Mn2PdO6 (PBE+U)

Data for crystalline Mn2PdO6 at its relaxed geometry.

The value obtained for the excess energy over the best structure of this formula in the dataset is 0.0 kJ per mole of atoms.

It has space group C2/m (No. 12), with a = 13.2509 Å, b = 2.9839 Å, c = 6.1028 Å, α = 90.00°, β = 104.89° and γ = 90.00°. Symmetry generates all atoms from Mn at (0.1689, 0.0000, 0.3368), Pd at (0.0000, 0.5000, 0.0000), O at (0.0166, 0.0000, 0.2309), O at (0.1586, 0.5000, 0.1243) and O at (0.1804, 0.5000, 0.5495).